Bi2SbAs | PBE | relaxed

extended XYZ file:
```
4
Lattice="0.000 3.797 3.797 3.797 0.000 3.797 3.797 3.797 0.000" Properties=species:S:1:pos:R:3 pbc="T T T"
Bi 1.899 1.899 1.899
Bi 5.696 5.696 5.696
Sb 0.000 0.000 0.000
As 3.797 3.797 3.797
```

Uncorrected formation energy   0.2362 eV per atom
Total energy   -3.897 eV/atom

***

BiSb3As | PBE | relaxed

extended XYZ file:
```
5
Lattice="5.799 0.000 0.000 0.000 5.799 0.000 0.000 0.000 5.799" Properties=species:S:1:pos:R:3 pbc="T T T"
Bi 0.000 0.000 0.000
Sb 0.000 0.000 2.899
Sb 0.000 2.899 0.000
Sb 2.899 0.000 0.000
As 2.899 2.899 2.899
```

Uncorrected formation energy   1.2346 eV per atom
Total energy   -2.945 eV/atom

***

BiSb2As2 | PBE | relaxed

extended XYZ file:
```
10
Lattice="8.423 0.000 0.000 0.000 8.423 0.000 0.000 0.000 3.802" Properties=species:S:1:pos:R:3 pbc="T T T"
Bi 0.000 0.000 0.000
Bi 4.211 4.211 0.000
Sb 1.418 2.793 1.901
Sb 2.793 7.005 1.901
Sb 5.630 1.418 1.901
Sb 7.005 5.630 1.901
As 1.422 5.634 0.000
As 2.789 1.422 0.000
As 5.634 7.000 0.000
As 7.000 2.789 0.000
```

Uncorrected formation energy   0.1928 eV per atom
Total energy   -4.092 eV/atom

***

BiSb2As2 | PBE | relaxed

extended XYZ file:
```
5
Lattice="-1.988 1.988 8.343 1.988 -1.988 8.343 1.988 1.988 -8.343" Properties=species:S:1:pos:R:3 pbc="T T T"
Bi 0.000 0.000 0.000
Sb 0.000 0.000 6.607
Sb 0.000 0.000 10.080
As 1.988 0.000 4.172
As 0.000 1.988 4.172
```

Uncorrected formation energy   0.2474 eV per atom
Total energy   -4.038 eV/atom

***

BiSbAs | PBE | relaxed

extended XYZ file:
```
6
Lattice="4.291 0.000 0.000 -0.032 4.503 0.000 -2.121 -1.506 9.343" Properties=species:S:1:pos:R:3 pbc="T T T"
Bi 0.000 0.000 0.000
Bi 0.010 0.442 6.371
Sb 0.039 -0.134 3.013
Sb 2.145 2.386 3.296
As 0.031 0.385 9.215
As 2.165 2.322 6.040
```

Uncorrected formation energy   -0.0054 eV per atom
Total energy   -4.223 eV/atom

***

Bi2SbAs | PBE | relaxed

extended XYZ file:
```
4
Lattice="2.132 1.231 8.367 -2.132 1.231 8.367 0.000 -2.462 8.367" Properties=species:S:1:pos:R:3 pbc="T T T"
Bi 0.000 0.000 0.000
Bi 0.000 0.000 4.596
Sb 0.000 0.000 10.063
As 0.000 0.000 14.428
```

Uncorrected formation energy   0.0320 eV per atom
Total energy   -4.101 eV/atom

***

BiSbAs | PBE | relaxed

extended XYZ file:
```
6
Lattice="4.253 0.000 0.000 0.000 6.339 0.000 -2.074 0.000 6.530" Properties=species:S:1:pos:R:3 pbc="T T T"
Bi 0.019 0.000 2.027
Bi 2.161 0.000 4.503
Sb 0.019 3.222 2.089
Sb 2.161 3.222 4.441
As 2.127 0.433 0.000
As 2.127 2.975 0.000
```

Uncorrected formation energy   0.0843 eV per atom
Total energy   -4.133 eV/atom

***

Bi2SbAs | PBE | relaxed

extended XYZ file:
```
4
Lattice="2.198 1.269 7.170 -2.198 1.269 7.170 0.000 -2.538 7.170" Properties=species:S:1:pos:R:3 pbc="T T T"
Bi 0.000 0.000 5.259
Bi 0.000 0.000 16.251
Sb 0.000 0.000 0.000
As 0.000 0.000 10.755
```

Uncorrected formation energy   0.0404 eV per atom
Total energy   -4.093 eV/atom

***

Bi2SbAs | PBE | relaxed

extended XYZ file:
```
8
Lattice="-3.485 3.485 6.818 3.485 -3.485 6.818 3.485 3.485 -6.818" Properties=species:S:1:pos:R:3 pbc="T T T"
Bi 5.227 1.568 -1.705
Bi 1.568 1.742 1.705
Bi -1.742 1.917 5.114
Bi 1.917 1.742 8.523
Sb 3.485 0.000 3.409
Sb 0.000 0.000 6.818
As 0.000 0.000 0.000
As 0.000 3.485 3.409
```

Uncorrected formation energy   0.2184 eV per atom
Total energy   -3.915 eV/atom

***

BiSbAs3 | PBE | relaxed

extended XYZ file:
```
5
Lattice="5.252 0.000 0.000 0.000 5.252 0.000 0.000 0.000 5.252" Properties=species:S:1:pos:R:3 pbc="T T T"
Bi 0.000 0.000 0.000
Sb 2.626 2.626 2.626
As 0.000 2.626 2.626
As 2.626 0.000 2.626
As 2.626 2.626 0.000
```

Uncorrected formation energy   0.8054 eV per atom
Total energy   -3.585 eV/atom

***

BiSbAs2 | PBE | relaxed

extended XYZ file:
```
4
Lattice="2.094 1.209 6.898 -2.094 1.209 6.898 0.000 -2.418 6.898" Properties=species:S:1:pos:R:3 pbc="T T T"
Bi 0.000 0.000 0.000
Sb 0.000 0.000 10.347
As 0.000 0.000 5.097
As 0.000 0.000 15.598
```

Uncorrected formation energy   0.0367 eV per atom
Total energy   -4.289 eV/atom

***

ScBiSbAs2 | PBE | relaxed

extended XYZ file:
```
5
Lattice="5.088 0.000 0.000 0.000 5.088 0.000 0.000 0.000 5.578" Properties=species:S:1:pos:R:3 pbc="T T T"
Sc 0.000 0.000 0.000
Bi 2.544 2.544 2.789
Sb 0.000 0.000 2.789
As 0.000 2.544 0.000
As 2.544 0.000 0.000
```

Uncorrected formation energy   0.1928 eV per atom
Total energy   -4.534 eV/atom

***

Sc6BiSb2As3 | PBE | relaxed

extended XYZ file:
```
12
Lattice="8.851 -2.001 0.000 8.851 2.001 0.000 -2.068 0.000 7.873" Properties=species:S:1:pos:R:3 pbc="T T T"
Sc -0.389 0.000 1.828
Sc 4.889 0.000 3.369
Sc 4.099 0.000 7.128
Sc 11.536 0.000 0.745
Sc 10.745 0.000 4.504
Sc 16.023 0.000 6.045
Bi 7.817 0.000 3.936
Sb 1.221 0.000 6.551
Sb 14.414 0.000 1.321
As 2.256 0.000 2.616
As 8.851 0.000 0.000
As 13.378 0.000 5.256
```

Uncorrected formation energy   -1.0972 eV per atom
Total energy   -6.436 eV/atom

***

BiSbAsSe2 | PBE | relaxed

extended XYZ file:
```
5
Lattice="5.259 0.000 0.000 0.000 5.259 0.000 0.000 0.000 5.333" Properties=species:S:1:pos:R:3 pbc="T T T"
Bi 0.000 0.000 0.000
Sb 2.630 2.630 2.666
As 2.630 2.630 0.000
Se 0.000 2.630 2.666
Se 2.630 0.000 2.666
```

Uncorrected formation energy   0.5021 eV per atom
Total energy   -3.422 eV/atom

***

BiSbAs2Se | PBE | relaxed

extended XYZ file:
```
5
Lattice="5.276 0.000 0.000 0.000 5.276 0.000 0.000 0.000 5.248" Properties=species:S:1:pos:R:3 pbc="T T T"
Bi 0.000 0.000 0.000
Sb 2.638 2.638 2.624
As 0.000 2.638 2.624
As 2.638 0.000 2.624
Se 2.638 2.638 0.000
```

Uncorrected formation energy   0.6651 eV per atom
Total energy   -3.492 eV/atom

***

Sm4Bi2SbAs | PBE | relaxed

extended XYZ file:
```
8
Lattice="7.703 0.000 0.000 0.000 4.435 0.000 -2.552 0.000 7.303" Properties=species:S:1:pos:R:3 pbc="T T T"
Sm 1.228 0.000 1.701
Sm -0.050 2.217 5.563
Sm 5.201 2.217 1.740
Sm 3.923 0.000 5.602
Bi -1.276 0.000 3.651
Bi 2.576 2.217 3.651
Sb 3.851 0.000 0.000
As 0.000 2.217 0.000
```

Uncorrected formation energy   -1.1164 eV per atom
Total energy   -5.543 eV/atom

***

Sm4BiSb2As | PBE | relaxed

extended XYZ file:
```
8
Lattice="7.668 0.000 0.000 0.000 4.424 0.000 -2.552 0.000 7.256" Properties=species:S:1:pos:R:3 pbc="T T T"
Sm 1.241 0.000 1.721
Sm -0.039 2.212 5.512
Sm 5.155 2.212 1.745
Sm 3.875 0.000 5.536
Bi -1.276 0.000 3.628
Sb 3.834 0.000 0.000
Sb 2.558 2.212 3.628
As 0.000 2.212 0.000
```

Uncorrected formation energy   -1.1742 eV per atom
Total energy   -5.631 eV/atom

***

SnBiSbAs | PBE | relaxed

extended XYZ file:
```
4
Lattice="6.178 0.000 0.000 0.000 2.230 5.003 0.000 -2.230 5.003" Properties=species:S:1:pos:R:3 pbc="T T T"
Sn 0.000 0.000 0.000
Bi 3.089 0.000 6.479
Sb 0.000 0.000 6.928
As 3.089 0.000 9.708
```

Uncorrected formation energy   0.1109 eV per atom
Total energy   -4.053 eV/atom

***

Sr6Bi2SbAs | PBE | relaxed

extended XYZ file:
```
20
Lattice="8.127 0.000 0.000 0.000 8.715 0.000 -8.028 0.000 11.601" Properties=species:S:1:pos:R:3 pbc="T T T"
Sr -1.087 0.557 2.821
Sr -5.101 3.801 8.621
Sr 1.454 6.080 0.807
Sr -2.560 6.994 6.608
Sr 2.508 1.591 0.734
Sr -1.506 2.767 6.534
Sr 1.605 5.948 5.067
Sr -2.409 7.125 10.867
Sr 2.659 1.722 4.993
Sr -1.355 2.636 10.794
Sr 5.200 4.915 2.979
Sr 1.186 8.158 8.780
Bi -3.776 0.689 8.729
Bi 0.238 3.669 2.929
Bi -0.139 5.046 8.672
Bi 3.875 8.027 2.872
Sb 0.049 0.000 5.800
Sb 4.063 4.358 0.000
As 0.000 0.000 0.000
As -4.014 4.358 5.800
```

Uncorrected formation energy   -0.9642 eV per atom
Total energy   -3.627 eV/atom

***

Tb6BiSb3As2 | PBE | relaxed

extended XYZ file:
```
12
Lattice="9.432 -2.159 0.000 9.432 2.159 0.000 -1.985 0.000 8.456" Properties=species:S:1:pos:R:3 pbc="T T T"
Tb -0.380 0.000 2.186
Tb 5.357 0.000 3.599
Tb 4.414 0.000 7.626
Tb 12.464 0.000 0.830
Tb 11.521 0.000 4.857
Tb 17.259 0.000 6.270
Bi 9.432 0.000 0.000
Sb 1.427 0.000 7.033
Sb 8.439 0.000 4.228
Sb 15.452 0.000 1.423
As 2.511 0.000 2.838
As 14.367 0.000 5.618
```

Uncorrected formation energy   -1.2103 eV per atom
Total energy   -5.654 eV/atom

***

Tb4BiSb2As | PBE | relaxed

extended XYZ file:
```
8
Lattice="7.548 0.000 0.000 0.000 4.353 0.000 -2.509 0.000 7.145" Properties=species:S:1:pos:R:3 pbc="T T T"
Tb 1.220 0.000 1.691
Tb -0.039 2.176 5.430
Tb 5.078 2.176 1.715
Tb 3.819 0.000 5.454
Bi -1.254 0.000 3.572
Sb 3.774 0.000 0.000
Sb 2.519 2.176 3.572
As 0.000 2.176 0.000
```

Uncorrected formation energy   -1.1492 eV per atom
Total energy   -5.561 eV/atom

***

Tb6BiSb2As3 | PBE | relaxed

extended XYZ file:
```
12
Lattice="9.366 -2.131 0.000 9.366 2.131 0.000 -2.098 0.000 8.352" Properties=species:S:1:pos:R:3 pbc="T T T"
Tb -0.418 0.000 1.969
Tb 5.245 0.000 3.553
Tb 4.401 0.000 7.580
Tb 12.234 0.000 0.772
Tb 11.389 0.000 4.799
Tb 17.052 0.000 6.382
Bi 8.317 0.000 4.176
Sb 1.369 0.000 6.955
Sb 15.265 0.000 1.397
As 2.420 0.000 2.778
As 9.366 0.000 0.000
As 14.214 0.000 5.574
```

Uncorrected formation energy   -1.2808 eV per atom
Total energy   -5.769 eV/atom

***

Th6Bi3SbAs2 | PBE | relaxed

extended XYZ file:
```
12
Lattice="9.777 -2.218 0.000 9.777 2.218 0.000 -2.207 0.000 8.728" Properties=species:S:1:pos:R:3 pbc="T T T"
Th -0.317 0.000 2.171
Th 5.404 0.000 3.801
Th 4.542 0.000 7.772
Th 12.805 0.000 0.956
Th 11.943 0.000 4.927
Th 17.664 0.000 6.557
Bi 1.335 0.000 7.264
Bi 8.673 0.000 4.364
Bi 16.012 0.000 1.464
Sb 9.777 0.000 0.000
As 2.559 0.000 2.929
As 14.788 0.000 5.800
```

Uncorrected formation energy   -0.9038 eV per atom
Total energy   -6.702 eV/atom

***

Th6BiSb2As3 | PBE | relaxed

extended XYZ file:
```
12
Lattice="9.618 -2.183 0.000 9.618 2.183 0.000 -2.181 0.000 8.578" Properties=species:S:1:pos:R:3 pbc="T T T"
Th -0.395 0.000 1.973
Th 5.324 0.000 3.695
Th 4.548 0.000 7.744
Th 12.507 0.000 0.833
Th 11.731 0.000 4.883
Th 17.450 0.000 6.605
Bi 8.527 0.000 4.289
Sb 1.389 0.000 7.141
Sb 15.665 0.000 1.437
As 2.463 0.000 2.850
As 9.618 0.000 0.000
As 14.592 0.000 5.727
```

Uncorrected formation energy   -1.1001 eV per atom
Total energy   -6.983 eV/atom

***

Tm4BiSb2As | PBE | relaxed

extended XYZ file:
```
8
Lattice="7.432 0.000 0.000 0.000 4.284 0.000 -2.467 0.000 7.039" Properties=species:S:1:pos:R:3 pbc="T T T"
Tm 1.200 0.000 1.662
Tm -0.039 2.142 5.354
Tm 5.004 2.142 1.684
Tm 3.765 0.000 5.377
Bi -1.234 0.000 3.519
Sb 3.716 0.000 0.000
Sb 2.482 2.142 3.519
As 0.000 2.142 0.000
```

Uncorrected formation energy   -1.0723 eV per atom
Total energy   -5.405 eV/atom

***

no.,calculated volume (Å³ per atom)
1,27.37
2,39.00
3,26.97
4,26.39
5,30.09
6,32.93
7,29.34
8,30.00
9,41.40
10,28.97
11,26.19
12,28.88
13,23.24
14,29.50
15,29.22
16,31.18
17,30.77
18,34.46
19,41.08
20,28.70
21,29.34
22,27.78
23,31.54
24,30.01
25,28.02